4
Lattice="-1.097 -1.366 1.973 2.330 -3.544 -1.159 2.463 2.206 2.897" Properties=species:S:1:pos:R:3 comment="LiCu2Ir (SCAN, single point on PBEsol structure)" total_energy_ev_per_atom=-26.0906 delta_e_f_ev_per_atom=-0.119 n_ef_per_ev_atom=0.551 pbc="T T T"
Cu 1.231 1.103 1.449
Cu 1.165 -1.772 -0.580
Ir 1.848 -1.352 1.856
Li -0.548 -0.683 0.986